GGA-PBE MgTl2Se, relaxed; uncorrected energy = -2.784 eV per atom
1.0
-1.4020 2.3977 -2.8378
-3.4766 -3.5088 -1.2470
-5.4261 0.5421 3.1388
Se Tl Mg
1 2 1
direct
0.5000 0.5455 0.7846
0.0000 0.9818 0.9121
0.5000 0.2785 0.3140
0.0000 0.6942 0.4893